No. 1
First-principles (PBE) data for an optimized crystal structure of LiMg6V, as listed in Alexandria.

It has space group Amm2 (No. 38), with a = 5.0343 Å, b = 6.2926 Å, c = 10.7379 Å, α = 90.00°, β = 90.00° and γ = 90.00°. Symmetry generates all atoms from Li at (0.0000, 0.0000, 0.0000), Mg at (0.0000, 0.2478, 0.7521), Mg at (0.5000, 0.0000, 0.1677), Mg at (0.5000, 0.0000, 0.6631), Mg at (0.5000, 0.2450, 0.4232) and V at (0.0000, 0.0000, 0.5007).

The energy relative to the elements comes out at 1.2 eV per formula unit. The volume is 21.26 A^3/atom. The distance to the lowest polymorph of the same formula is 0.765 kcal/mol of atoms. For the total energy, the calculation gives -38.7 eV for the cell shown.

No. 2
First-principles (PBE) data for an optimized crystal structure of LiMg3V, as listed in Alexandria.

It has space group Pm-3m (No. 221), with a = 4.7591 Å, b = 4.7591 Å, c = 4.7591 Å, α = 90.00°, β = 90.00° and γ = 90.00°. Symmetry generates all atoms from Li at (0.0000, 0.0000, 0.0000), Mg at (0.0000, 0.0000, 0.5000) and V at (0.5000, 0.5000, 0.5000).

The energy relative to the elements comes out at 3.5 eV per formula unit. The volume is 21.56 A^3/atom. The distance to the lowest polymorph of the same formula is 0.000 kcal/mol of atoms. For the total energy, the calculation gives -12.4 eV for the cell shown.

No. 3
First-principles (PBE) data for an optimized crystal structure of LiMg2V, as listed in Alexandria.

It has space group Fm-3m (No. 225), with a = 6.8007 Å, b = 6.8007 Å, c = 6.8007 Å, α = 90.00°, β = 90.00° and γ = 90.00°. Symmetry generates all atoms from Li at (0.0000, 0.0000, 0.0000), Mg at (0.2500, 0.2500, 0.2500) and V at (0.0000, 0.0000, 0.5000).

The energy relative to the elements comes out at 1.4 eV per formula unit. The volume is 19.66 A^3/atom. The distance to the lowest polymorph of the same formula is 0.000 kcal/mol of atoms. For the total energy, the calculation gives -51.4 eV for the cell shown.

No. 4
First-principles (PBE) data for an optimized crystal structure of LiMg14V, as listed in Alexandria.

It has space group Amm2 (No. 38), with a = 10.2607 Å, b = 6.3276 Å, c = 10.8777 Å, α = 90.00°, β = 90.00° and γ = 90.00°. Symmetry generates all atoms from Li at (0.0000, 0.0000, 0.0000), Mg at (0.0000, 0.2498, 0.2511), Mg at (0.2398, 0.2482, 0.5803), Mg at (0.2440, 0.0000, 0.3351), Mg at (0.2481, 0.0000, 0.8332), Mg at (0.5000, 0.0000, 0.0009), Mg at (0.5000, 0.0000, 0.5007), Mg at (0.5000, 0.2492, 0.2496) and V at (0.0000, 0.0000, 0.5000).

The energy relative to the elements comes out at 1.1 eV per formula unit. The volume is 22.07 A^3/atom. The distance to the lowest polymorph of the same formula is 0.197 kcal/mol of atoms. For the total energy, the calculation gives -64.4 eV for the cell shown.